# 1
Density functional theory data (PBEsol) for a relaxed TaTlTc2Ir crystal.

Structure (POSCAR):
```
TaTlTc2Ir
1.0
4.7485 0.0000 0.0000
0.0000 4.7485 0.0000
0.0000 0.0000 4.7124
Ta Tl Tc Ir
1 1 2 1
Direct
0.0000 0.0000 0.0000
0.5000 0.5000 0.5000
0.0000 0.5000 0.5000
0.5000 0.0000 0.5000
0.5000 0.5000 0.0000
```

The crystal system is tetragonal. The calculation puts the formation energy at 13.24 eV/f.u. The final energy is -34.30 eV per cell.

# 2
Density functional theory data (PBEsol) for a relaxed Ta2TlTcIr crystal.

Structure (POSCAR):
```
Ta2TlTcIr
1.0
4.9187 0.0000 0.0000
0.0000 4.9187 0.0000
0.0000 0.0000 4.7434
Ta Tl Tc Ir
2 1 1 1
Direct
0.0000 0.5000 0.0000
0.5000 0.0000 0.0000
0.0000 0.0000 0.0000
0.5000 0.5000 0.5000
0.0000 0.0000 0.5000
```

The crystal system is tetragonal. The calculation puts the formation energy at 13.92 eV/f.u. The final energy is -34.90 eV per cell.

# 3
Density functional theory data (PBEsol) for a relaxed TaTe2Ir crystal.

Structure (POSCAR):
```
TaTe2Ir
1.0
0.0000 3.4084 3.4084
3.4084 0.0000 3.4084
3.4084 3.4084 0.0000
Ta Te Ir
1 2 1
Direct
0.0000 0.0000 0.0000
0.2500 0.2500 0.2500
0.5000 0.5000 0.5000
0.7500 0.7500 0.7500
```

The crystal system is cubic. The formation energy (no corrections) comes out at 59 kJ per mole of atoms. The calculation puts the excess energy over the best structure of this formula in the dataset at 659.2 meV/atom. The final energy is -26.98 eV per cell.

# 4
Density functional theory data (PBEsol) for a relaxed TaTeIr2 crystal.

Structure (POSCAR):
```
TaTeIr2
1.0
4.8100 -1.5218 0.0000
4.8100 1.5218 0.0000
-0.3865 0.0000 4.6532
Ta Te Ir
1 1 2
Direct
0.0000 0.0000 0.0000
0.7691 0.7691 0.3060
0.2759 0.2759 0.7945
0.5397 0.5397 0.5464
```

The crystal system is monoclinic. The formation energy (no corrections) comes out at 5 kJ per mole of atoms. The final energy is -35.52 eV per cell.

# 5
Density functional theory data (PBEsol) for a relaxed Ta2TeIr crystal.

Structure (POSCAR):
```
Ta2TeIr
1.0
0.0000 3.2785 3.2785
3.2785 0.0000 3.2785
3.2785 3.2785 0.0000
Ta Te Ir
2 1 1
Direct
0.0000 0.0000 0.0000
0.2500 0.2500 0.2500
0.5000 0.5000 0.5000
0.7500 0.7500 0.7500
```

The crystal system is cubic. The formation energy (no corrections) comes out at 33 kJ per mole of atoms. The final energy is -37.09 eV per cell.

# 6
Density functional theory data (PBEsol) for a relaxed TaTe2Ir crystal.

Structure (POSCAR):
```
TaTe2Ir
1.0
3.0606 0.0000 0.0000
0.0000 3.0606 0.0000
0.0000 0.0000 9.3243
Ta Te Ir
1 2 1
Direct
0.0000 0.0000 0.0000
0.0000 0.0000 0.5964
0.5000 0.5000 0.2161
0.5000 0.5000 0.8263
```

The crystal system is tetragonal. The formation energy (no corrections) comes out at -2 kJ per mole of atoms. The calculation puts the excess energy over the best structure of this formula in the dataset at 28.9 meV/atom. The final energy is -29.50 eV per cell.

# 7
Density functional theory data (PBEsol) for a relaxed TaTe2Ir crystal.

Structure (POSCAR):
```
TaTe2Ir
1.0
4.6283 0.0000 0.0000
0.0000 4.6283 0.0000
0.0000 0.0000 3.4741
Ta Te Ir
1 2 1
Direct
0.0000 0.0000 0.0000
0.0000 0.5000 0.5000
0.5000 0.0000 0.5000
0.5000 0.5000 0.0000
```

The crystal system is tetragonal. The formation energy (no corrections) comes out at 23 kJ per mole of atoms. The calculation puts the excess energy over the best structure of this formula in the dataset at 284.3 meV/atom. The final energy is -28.48 eV per cell.

# 8
Density functional theory data (PBEsol) for a relaxed TaTeIr2 crystal.

Structure (POSCAR):
```
TaTeIr2
1.0
3.0459 0.0000 0.0000
0.0000 3.8482 0.0000
0.0000 0.0000 5.7312
Ta Te Ir
1 1 2
Direct
0.0000 0.0000 0.0000
0.0000 0.0000 0.5000
0.5000 0.5000 0.2325
0.5000 0.5000 0.7675
```

The crystal system is orthorhombic. The formation energy (no corrections) comes out at -6 kJ per mole of atoms. The final energy is -35.96 eV per cell.

# 9
Density functional theory data (PBEsol) for a relaxed TaTe2Ir crystal.

Structure (POSCAR):
```
TaTe2Ir
1.0
-1.8551 2.0164 6.7367
1.8551 -2.0164 6.7367
1.8551 2.0164 -6.7367
Ta Te Ir
1 2 1
Direct
0.0000 0.0000 0.0000
0.3534 0.8534 0.5000
0.6466 0.1466 0.5000
0.5000 0.5000 0.0000
```

The crystal system is orthorhombic. The formation energy (no corrections) comes out at -5 kJ per mole of atoms. The calculation puts the excess energy over the best structure of this formula in the dataset at 0.0 meV/atom. The final energy is -29.62 eV per cell.

# 10
Density functional theory data (PBEsol) for a relaxed TaTe2Ir crystal.

Structure (POSCAR):
```
TaTe2Ir
1.0
4.3886 -1.6261 0.0000
4.3886 1.6261 0.0000
-0.8022 0.0000 5.4692
Ta Te Ir
1 2 1
Direct
0.0000 0.0000 0.0000
0.2687 0.2687 0.7587
0.7313 0.7313 0.2413
0.5000 0.5000 0.5000
```

The crystal system is monoclinic. The formation energy (no corrections) comes out at 32 kJ per mole of atoms. The calculation puts the excess energy over the best structure of this formula in the dataset at 375.4 meV/atom. The final energy is -28.12 eV per cell.

# 11
Density functional theory data (PBEsol) for a relaxed Ta2TeIr crystal.

Structure (POSCAR):
```
Ta2TeIr
1.0
4.8459 -1.5609 0.0000
4.8459 1.5609 0.0000
-0.8302 0.0000 4.6555
Ta Te Ir
2 1 1
Direct
0.2439 0.2439 0.2292
0.7561 0.7561 0.7708
0.0000 0.0000 0.5000
0.5000 0.5000 0.0000
```

The crystal system is monoclinic. The formation energy (no corrections) comes out at 8 kJ per mole of atoms. The final energy is -38.14 eV per cell.

# 12
Density functional theory data (PBEsol) for a relaxed TaTeIr2 crystal.

Structure (POSCAR):
```
TaTeIr2
1.0
-2.0231 2.0231 4.0296
2.0231 -2.0231 4.0296
2.0231 2.0231 -4.0296
Ta Te Ir
1 1 2
Direct
0.0000 0.0000 0.0000
0.5000 0.5000 0.0000
0.2500 0.7500 0.5000
0.7500 0.2500 0.5000
```

The crystal system is tetragonal. The formation energy (no corrections) comes out at 6 kJ per mole of atoms. The final energy is -35.47 eV per cell.